# K4ZrAu

A geometry-optimized K4ZrAu structure (GGA-PBE, the Alexandria database).

Structure (POSCAR):
```
K4ZrAu
1.0
0.000 5.013 5.013
5.013 0.000 5.013
5.013 5.013 0.000
K Zr Au
4 1 1
Cartesian
3.767 3.767 3.767
6.258 6.258 3.767
6.258 3.767 6.258
3.767 6.258 6.258
0.000 0.000 0.000
7.519 7.519 7.519
```

total magnetization	3.54	μB/cell
calculated formation energy	0.85	eV/atom
density of states at the Fermi level	10.03	states/eV per cell
electronic total energy	-11.099	eV for the cell shown

# KZrAu2

A geometry-optimized KZrAu2 structure (GGA-PBE, the Alexandria database).

Structure (POSCAR):
```
KZrAu2
1.0
-3.952 3.952 3.730
3.952 -3.952 3.730
3.952 3.952 -3.730
K Zr Au
2 2 4
Cartesian
0.000 0.000 0.000
0.000 3.952 1.865
3.952 0.000 1.865
0.000 0.000 3.730
1.976 -1.576 2.798
2.376 1.976 0.933
1.976 5.527 -0.933
1.576 1.976 4.663
```

E above lowest polymorph	514	meV per atom
total magnetization	0.56	μB/cell
calculated formation energy	0.19	eV/atom
density of states at the Fermi level	8.81	states/eV per cell
electronic total energy	-30.873	eV for the cell shown

# K2ZrAu

A geometry-optimized K2ZrAu structure (GGA-PBE, the Alexandria database).

Structure (POSCAR):
```
K2ZrAu
1.0
0.000 3.816 3.816
3.816 0.000 3.816
3.816 3.816 0.000
K Zr Au
2 1 1
Cartesian
0.000 0.000 0.000
1.908 1.908 1.908
5.724 5.724 5.724
3.816 3.816 3.816
```

E above lowest polymorph	591	meV per atom
total magnetization	0.00	μB/cell
calculated formation energy	0.69	eV/atom
density of states at the Fermi level	5.38	states/eV per cell
electronic total energy	-11.270	eV for the cell shown